1.
VASP calculation (PBE) on crystalline Os2PtRh at its relaxed geometry.

Unit cell a=5.589 b=5.589 c=11.050 alpha=90.00 beta=90.00 gamma=90.00
Space group I-42d (No. 122)
Symmetry-distinct sites (fractional):
Os: 0.244 0.250 0.125 [8 per cell]
Pt: 0.000 0.000 0.500 [4 per cell]
Rh: 0.000 0.000 0.000 [4 per cell]

mass density: 13.1 g/cm3
formation energy: 1.30 eV per atom

2.
VASP calculation (PBE) on crystalline OsPt2Rh at its relaxed geometry.

Unit cell a=2.715 b=4.730 c=9.509 alpha=90.00 beta=90.00 gamma=90.00
Space group Cmmm (No. 65)
Symmetry-distinct sites (fractional):
Os: 0.000 0.000 0.000 [2 per cell]
Pt: 0.000 0.500 0.250 [4 per cell]
Rh: 0.000 0.000 0.500 [2 per cell]

mass density: 18.6 g/cm3
formation energy: 0.27 eV per atom

3.
VASP calculation (PBE) on crystalline Os2PtRh at its relaxed geometry.

Unit cell a=3.876 b=3.876 c=7.741 alpha=90.00 beta=90.00 gamma=90.00
Space group I-4m2 (No. 119)
Symmetry-distinct sites (fractional):
Os: 0.000 0.000 0.000 [2 per cell]
Os: 0.000 0.500 0.250 [2 per cell]
Pt: 0.000 0.000 0.500 [2 per cell]
Rh: 0.000 0.500 0.750 [2 per cell]

mass density: 19.4 g/cm3
formation energy: 0.12 eV per atom

4.
VASP calculation (PBE) on crystalline OsPt2Rh at its relaxed geometry.

Unit cell a=2.754 b=3.888 c=5.564 alpha=90.00 beta=90.00 gamma=90.00
Space group Pmm2 (No. 25)
Symmetry-distinct sites (fractional):
Os: 0.000 0.000 0.000 [1 per cell]
Pt: 0.000 0.000 0.511 [1 per cell]
Pt: 0.500 0.500 0.249 [1 per cell]
Rh: 0.500 0.500 0.769 [1 per cell]

mass density: 19.0 g/cm3
formation energy: 0.04 eV per atom

5.
VASP calculation (PBE) on crystalline OsPtRh2 at its relaxed geometry.

Unit cell a=2.7372 b=2.7372 c=27.0235 alpha=90.00 beta=90.00 gamma=120.00
Space group R3m (No. 160, hexagonal axes)
Symmetry-distinct sites (fractional):
Os: 0.0000 0.0000 0.0000 [3 per cell]
Pt: 0.0000 0.0000 0.7518 [3 per cell]
Rh: 0.0000 0.0000 0.2546 [3 per cell]
Rh: 0.0000 0.0000 0.5045 [3 per cell]

mass density: 16.8 g/cm3
formation energy: 0.06 eV per atom

6.
VASP calculation (PBE) on crystalline OsPtRh2 at its relaxed geometry.

Unit cell a=4.716 b=4.716 c=2.693 alpha=90.00 beta=90.00 gamma=90.00
Space group P4/mmm (No. 123)
Symmetry-distinct sites (fractional):
Os: 0.000 0.000 0.000 [1 per cell]
Pt: 0.500 0.500 0.000 [1 per cell]
Rh: 0.000 0.500 0.500 [2 per cell]

mass density: 16.4 g/cm3
formation energy: 0.31 eV per atom

7.
VASP calculation (PBE) on crystalline OsPtRh2 at its relaxed geometry.

Unit cell a=3.881 b=3.881 c=3.859 alpha=90.00 beta=90.00 gamma=90.00
Space group P4/mmm (No. 123)
Symmetry-distinct sites (fractional):
Os: 0.000 0.000 0.000 [1 per cell]
Pt: 0.500 0.500 0.000 [1 per cell]
Rh: 0.000 0.500 0.500 [2 per cell]

mass density: 16.9 g/cm3
formation energy: 0.11 eV per atom

8.
VASP calculation (PBE) on crystalline OsPt2Rh at its relaxed geometry.

Unit cell a=6.246 b=6.246 c=6.246 alpha=90.00 beta=90.00 gamma=90.00
Space group Fm-3m (No. 225)
Symmetry-distinct sites (fractional):
Os: 0.000 0.000 0.000 [4 per cell]
Pt: 0.250 0.250 0.250 [8 per cell]
Rh: 0.000 0.000 0.500 [4 per cell]

mass density: 18.6 g/cm3
formation energy: 0.38 eV per atom